1.
{"formula": "MgCd2Au", "functional": "GGA-PBEsol", "state": "relaxed", "crystal_system": "monoclinic", "n_ef_per_ev_cell": 1.1, "magmom_total_mub_per_fu": 0.0, "ef_mev_per_atom": -241, "total_energy_ev_per_atom": -2.2494, "cell": [[-1.877, -1.069, -3.595], [-1.024, -3.787, 1.661], [-2.154, 4.042, 2.369]], "species": ["Cd", "Mg", "Au", "Cd"], "fractional_positions": [[0.249, 0.249, 0.498], [0.000, 0.500, 0.000], [0.500, 0.000, 0.000], [0.751, 0.751, 0.502]]}

=====

2.
{"formula": "MgCd2Au", "functional": "GGA-PBEsol", "state": "relaxed", "crystal_system": "orthorhombic", "n_ef_per_ev_cell": 1.2, "magmom_total_mub_per_fu": 0.0, "ef_mev_per_atom": -241, "total_energy_ev_per_atom": -2.2496, "cell": [[3.365, 0.000, 0.000], [0.000, 3.695, 0.000], [0.000, 0.000, 6.144]], "species": ["Au", "Cd", "Cd", "Mg"], "fractional_positions": [[0.500, 0.500, 0.734], [0.000, 0.000, 0.992], [0.500, 0.500, 0.251], [0.000, 0.000, 0.523]]}

=====

3.
{"formula": "MgCd2Au", "functional": "GGA-PBEsol", "state": "relaxed", "crystal_system": "monoclinic", "n_ef_per_ev_cell": 1.4, "magmom_total_mub_per_fu": 0.0, "ef_mev_per_atom": -179, "total_energy_ev_per_atom": -2.1879, "cell": [[-2.493, 1.770, 0.757], [-0.736, -2.780, 4.074], [2.974, 3.029, 2.604]], "species": ["Cd", "Mg", "Au", "Cd"], "fractional_positions": [[0.773, 0.000, 0.751], [0.500, 0.500, 0.500], [0.000, 0.500, 0.000], [0.227, 0.000, 0.249]]}

=====

4.
{"formula": "Mg2CdAu", "functional": "GGA-PBEsol", "state": "relaxed", "crystal_system": "monoclinic", "n_ef_per_ev_cell": 1.1, "magmom_total_mub_per_fu": 0.0, "de_polymorph_ev_per_fu": 0.04, "ef_mev_per_atom": -364, "total_energy_ev_per_atom": -2.5032, "cell": [[-2.991, 0.362, -3.623], [1.949, -4.163, 1.028], [-2.644, -3.440, 1.835]], "species": ["Cd", "Mg", "Au", "Mg"], "fractional_positions": [[0.000, 0.000, 0.000], [0.250, 0.500, 0.250], [0.500, 0.000, 0.500], [0.750, 0.500, 0.750]]}

=====

5.
{"formula": "MgCd2Au", "functional": "GGA-PBEsol", "state": "relaxed", "crystal_system": "orthorhombic", "n_ef_per_ev_cell": 1.2, "magmom_total_mub_per_fu": 0.0, "ef_mev_per_atom": -240, "total_energy_ev_per_atom": -2.2486, "cell": [[-0.493, 1.469, 3.845], [1.823, -3.522, 1.579], [3.132, 2.890, -2.938]], "species": ["Au", "Cd", "Mg", "Cd"], "fractional_positions": [[0.500, 0.000, 0.000], [0.248, 0.248, 0.497], [0.000, 0.500, 0.000], [0.752, 0.752, 0.503]]}

=====

6.
{"formula": "Mg2CdAu", "functional": "GGA-PBEsol", "state": "relaxed", "crystal_system": "tetragonal", "n_ef_per_ev_cell": 1.2, "magmom_total_mub_per_fu": 0.0, "de_polymorph_ev_per_fu": 0.23, "ef_mev_per_atom": -316, "total_energy_ev_per_atom": -2.4545, "cell": [[4.186, 0.000, 0.000], [0.000, 4.186, 0.000], [-2.093, -2.093, 4.225]], "species": ["Mg", "Cd", "Au", "Mg"], "fractional_positions": [[0.000, 0.000, 0.000], [0.250, 0.750, 0.500], [0.500, 0.500, 0.000], [0.750, 0.250, 0.500]]}

=====

7.
{"formula": "Mg2CdAu", "functional": "GGA-PBEsol", "state": "relaxed", "crystal_system": "orthorhombic", "n_ef_per_ev_cell": 1.1, "magmom_total_mub_per_fu": 0.0, "de_polymorph_ev_per_fu": 0.00, "ef_mev_per_atom": -374, "total_energy_ev_per_atom": -2.5129, "cell": [[3.348, 0.000, 0.000], [0.000, 3.244, 0.000], [0.000, 0.000, 6.962]], "species": ["Mg", "Mg", "Cd", "Au"], "fractional_positions": [[0.000, 0.000, 0.225], [0.000, 0.000, 0.775], [0.500, 0.500, 0.500], [0.500, 0.500, 0.000]]}

=====

8.
{"formula": "Mg2CdAu", "functional": "GGA-PBEsol", "state": "relaxed", "crystal_system": "tetragonal", "n_ef_per_ev_cell": 1.1, "magmom_total_mub_per_fu": 0.0, "de_polymorph_ev_per_fu": 0.34, "ef_mev_per_atom": -288, "total_energy_ev_per_atom": -2.4267, "cell": [[3.566, 0.000, 0.000], [0.000, 3.566, 0.000], [0.000, 0.000, 6.012]], "species": ["Mg", "Au", "Mg", "Cd"], "fractional_positions": [[0.500, 0.500, 0.279], [0.000, 0.000, 0.479], [0.000, 0.000, 0.991], [0.500, 0.500, 0.750]]}

=====

9.
{"formula": "MgCd2Au", "functional": "GGA-PBEsol", "state": "relaxed", "crystal_system": "tetragonal", "n_ef_per_ev_cell": 1.0, "magmom_total_mub_per_fu": 0.0, "ef_mev_per_atom": -244, "total_energy_ev_per_atom": -2.2531, "cell": [[4.147, 0.000, 0.000], [0.000, 4.147, 0.000], [0.000, 0.000, 4.399]], "species": ["Cd", "Mg", "Au", "Cd"], "fractional_positions": [[0.000, 0.500, 0.000], [0.500, 0.500, 0.500], [0.000, 0.000, 0.500], [0.500, 0.000, 0.000]]}

=====

10.
{"formula": "MgCd2Au", "functional": "GGA-PBEsol", "state": "relaxed", "crystal_system": "orthorhombic", "n_ef_per_ev_cell": 1.1, "magmom_total_mub_per_fu": 0.0, "ef_mev_per_atom": -229, "total_energy_ev_per_atom": -2.2375, "cell": [[-0.229, -0.423, -3.102], [0.616, -4.372, 0.550], [-5.415, -0.504, 2.057]], "species": ["Cd", "Au", "Cd", "Mg"], "fractional_positions": [[0.177, 0.000, 0.355], [0.330, 0.500, 0.659], [0.579, 0.500, 0.158], [0.911, 0.000, 0.821]]}

=====

11.
{"formula": "Mg2CdAu", "functional": "GGA-PBEsol", "state": "relaxed", "crystal_system": "monoclinic", "n_ef_per_ev_cell": 1.0, "magmom_total_mub_per_fu": 0.0, "de_polymorph_ev_per_fu": 0.24, "ef_mev_per_atom": -313, "total_energy_ev_per_atom": -2.4520, "cell": [[3.471, 0.000, 0.000], [0.000, 4.657, -0.190], [-1.736, -1.611, 4.770]], "species": ["Cd", "Au", "Mg", "Mg"], "fractional_positions": [[0.763, 0.240, 0.526], [0.501, 0.531, 0.002], [0.232, 0.708, 0.463], [0.005, 0.021, 0.010]]}

=====

12.
{"formula": "MgCd2Au", "functional": "GGA-PBEsol", "state": "relaxed", "crystal_system": "tetragonal", "n_ef_per_ev_cell": 1.2, "magmom_total_mub_per_fu": 0.0, "ef_mev_per_atom": -246, "total_energy_ev_per_atom": -2.2547, "cell": [[4.383, 0.000, 0.000], [0.000, 4.383, 0.000], [-2.191, -2.191, 3.927]], "species": ["Mg", "Au", "Cd", "Cd"], "fractional_positions": [[0.500, 0.500, 0.000], [0.250, 0.750, 0.500], [0.000, 0.000, 0.000], [0.750, 0.250, 0.500]]}

=====

Which formula does entry 5 have?
MgCd2Au